Compound: Cr4Ni
Source: the Alexandria database
Functional: GGA-PBEsol
Structure: optimized geometry

Summary:
* polymorph energy (0 for the lowest one): 1332 meV per atom
* formation energy: 1.3724 eV per atom

Cell: 5.1281 5.1281 5.1281 Å, 90.00 90.00 90.00°
Space group Im-3m (No. 229)
Symmetry-distinct sites (fractional):
Cr 0.2500 0.2500 0.2500 [8 per cell]
Ni 0.0000 0.0000 0.0000 [2 per cell]